ScTaTi2 | PBE | relaxed

The structure in CIF format:
```
data_ScTaTi2
_cell_length_a 3.440
_cell_length_b 3.440
_cell_length_c 6.502
_cell_angle_alpha 90.00
_cell_angle_beta 90.00
_cell_angle_gamma 90.00
_symmetry_space_group_name_H-M 'P 4/m m m'
_symmetry_Int_Tables_number 123
_symmetry_space_group_name_Hall '-P 4 2'
loop_
_atom_site_label
_atom_site_type_symbol
_atom_site_fract_x
_atom_site_fract_y
_atom_site_fract_z
Sc1 Sc 0.000 0.000 0.000
Ta1 Ta 0.000 0.000 0.500
Ti1 Ti 0.500 0.500 0.290
```

## Properties
DFT total energy in eV/f.u.: -33.6
Fermi-level density of states in states/eV/atom: 1.817
M_tot in μB per formula unit: 0.0

---

SmHo3Sn2 | PBE | relaxed

The structure in CIF format:
```
data_SmHo3Sn2
_cell_length_a 17.941
_cell_length_b 4.556
_cell_length_c 9.513
_cell_angle_alpha 90.00
_cell_angle_beta 113.69
_cell_angle_gamma 90.00
_symmetry_space_group_name_H-M 'C 1 2/m 1'
_symmetry_Int_Tables_number 12
loop_
_symmetry_equiv_pos_as_xyz
'x,y,z'
'-x,-y,-z'
'-x,y,-z'
'x,-y,z'
'x+1/2,y+1/2,z'
'-x+1/2,-y+1/2,-z'
'-x+1/2,y+1/2,-z'
'x+1/2,-y+1/2,z'
loop_
_atom_site_label
_atom_site_type_symbol
_atom_site_fract_x
_atom_site_fract_y
_atom_site_fract_z
Sm1 Sm 0.114 0.000 0.131
Ho1 Ho 0.055 0.000 0.690
Ho2 Ho 0.145 0.500 0.483
Ho3 Ho 0.192 0.500 0.889
Sn1 Sn 0.009 0.500 0.854
Sn2 Sn 0.244 0.000 0.714
```

## Properties
DFT total energy in eV/f.u.: -29.4
Fermi-level density of states in states/eV/atom: 1.118
M_tot in μB per formula unit: 0.2

---

CePrIn3 | PBE | relaxed

The structure in CIF format:
```
data_CePrIn3
_cell_length_a 6.319
_cell_length_b 16.630
_cell_length_c 5.611
_cell_angle_alpha 90.00
_cell_angle_beta 90.00
_cell_angle_gamma 90.00
_symmetry_space_group_name_H-M 'C m c m'
_symmetry_Int_Tables_number 63
_symmetry_space_group_name_Hall '-C 2c 2'
loop_
_atom_site_label
_atom_site_type_symbol
_atom_site_fract_x
_atom_site_fract_y
_atom_site_fract_z
Ce1 Ce 0.000 0.051 0.250
Pr1 Pr 0.000 0.306 0.750
In1 In 0.000 0.500 0.000
In2 In 0.240 0.135 0.750
```

## Properties
DFT total energy in eV/f.u.: -20.4
Fermi-level density of states in states/eV/atom: 1.665
M_tot in μB per formula unit: 0.9

---

Li2InSbI6 | PBE | relaxed

The structure in CIF format:
```
data_Li2InSbI6
_cell_length_a 7.5388
_cell_length_b 7.5388
_cell_length_c 24.6175
_cell_angle_alpha 90.00
_cell_angle_beta 90.00
_cell_angle_gamma 120.00
_symmetry_space_group_name_H-M 'R -3'
_symmetry_Int_Tables_number 148
_symmetry_space_group_name_Hall '-R 3'
loop_
_atom_site_label
_atom_site_type_symbol
_atom_site_fract_x
_atom_site_fract_y
_atom_site_fract_z
Li1 Li 0.0000 0.0000 0.1678
In1 In 0.0000 0.0000 0.0000
Sb1 Sb 0.0000 0.0000 0.5000
I1 I 0.0000 0.3308 0.2365
```

## Properties
DFT total energy in eV/f.u.: -27.0
Fermi-level density of states in states/eV/atom: 0.000
M_tot in μB per formula unit: 0.0

---

Na5HCl6 | PBE | relaxed

The structure in CIF format:
```
data_Na5HCl6
_cell_length_a 7.185
_cell_length_b 12.137
_cell_length_c 6.662
_cell_angle_alpha 90.00
_cell_angle_beta 94.38
_cell_angle_gamma 90.00
_symmetry_space_group_name_H-M 'C 1 2/m 1'
_symmetry_Int_Tables_number 12
loop_
_symmetry_equiv_pos_as_xyz
'x,y,z'
'-x,-y,-z'
'-x,y,-z'
'x,-y,z'
'x+1/2,y+1/2,z'
'-x+1/2,-y+1/2,-z'
'-x+1/2,y+1/2,-z'
'x+1/2,-y+1/2,z'
loop_
_atom_site_label
_atom_site_type_symbol
_atom_site_fract_x
_atom_site_fract_y
_atom_site_fract_z
Na1 Na 0.000 0.000 0.000
Na2 Na 0.000 0.279 0.500
Na3 Na 0.000 0.330 0.000
H1 H 0.000 0.500 0.500
Cl1 Cl 0.118 0.500 0.310
Cl2 Cl 0.188 0.169 0.227
```

## Properties
DFT total energy in eV/f.u.: -39.2
Fermi-level density of states in states/eV/atom: 0.000
M_tot in μB per formula unit: 0.0

---

Ca3Pa2TiAs6 | PBE | relaxed

The structure in CIF format:
```
data_Ca3Pa2TiAs6
_cell_length_a 7.044
_cell_length_b 12.212
_cell_length_c 7.223
_cell_angle_alpha 90.00
_cell_angle_beta 109.09
_cell_angle_gamma 90.00
_symmetry_space_group_name_H-M 'C 1 2/m 1'
_symmetry_Int_Tables_number 12
loop_
_symmetry_equiv_pos_as_xyz
'x,y,z'
'-x,-y,-z'
'-x,y,-z'
'x,-y,z'
'x+1/2,y+1/2,z'
'-x+1/2,-y+1/2,-z'
'-x+1/2,y+1/2,-z'
'x+1/2,-y+1/2,z'
loop_
_atom_site_label
_atom_site_type_symbol
_atom_site_fract_x
_atom_site_fract_y
_atom_site_fract_z
Ca1 Ca 0.000 0.000 0.000
Ca2 Ca 0.000 0.330 0.000
Pa1 Pa 0.000 0.166 0.500
Ti1 Ti 0.000 0.500 0.500
As1 As 0.236 0.339 0.726
As2 As 0.244 0.500 0.271
```

## Properties
DFT total energy in eV/f.u.: -73.9
Fermi-level density of states in states/eV/atom: 0.689
M_tot in μB per formula unit: 1.2

---

MnBe2B2 | PBE | relaxed

The structure in CIF format:
```
data_MnBe2B2
_cell_length_a 5.431
_cell_length_b 5.431
_cell_length_c 2.605
_cell_angle_alpha 90.00
_cell_angle_beta 90.00
_cell_angle_gamma 90.00
_symmetry_space_group_name_H-M 'P 4/m b m'
_symmetry_Int_Tables_number 127
_symmetry_space_group_name_Hall '-P 4 2ab'
loop_
_atom_site_label
_atom_site_type_symbol
_atom_site_fract_x
_atom_site_fract_y
_atom_site_fract_z
Mn1 Mn 0.000 0.000 0.000
Be1 Be 0.184 0.316 0.500
B1 B 0.111 0.611 0.000
```

## Properties
Offset from the most stable computed form in meV per atom: 184
Fermi-level density of states in states/eV/atom: 0.284
M_tot in μB per formula unit: 1.4

---

Ac4Pt3I | PBE | relaxed

The structure in CIF format:
```
data_Ac4Pt3I
_cell_length_a 4.4313
_cell_length_b 4.4313
_cell_length_c 31.6716
_cell_angle_alpha 90.00
_cell_angle_beta 90.00
_cell_angle_gamma 120.00
_symmetry_space_group_name_H-M 'P 63/m m c'
_symmetry_Int_Tables_number 194
_symmetry_space_group_name_Hall '-P 6c 2c'
loop_
_atom_site_label
_atom_site_type_symbol
_atom_site_fract_x
_atom_site_fract_y
_atom_site_fract_z
Ac1 Ac 0.0000 0.0000 0.1638
Ac2 Ac 0.3333 0.6667 0.0559
Pt1 Pt 0.0000 0.0000 0.0000
Pt2 Pt 0.3333 0.6667 0.6145
I1 I 0.3333 0.6667 0.2500
```

## Properties
DFT total energy in eV/f.u.: -45.7
Fermi-level density of states in states/eV/atom: 0.504
M_tot in μB per formula unit: 0.0

---

AcCoGe3Os | PBE | relaxed

The structure in CIF format:
```
data_AcCoGe3Os
_cell_length_a 6.115
_cell_length_b 11.776
_cell_length_c 6.885
_cell_angle_alpha 90.00
_cell_angle_beta 90.00
_cell_angle_gamma 90.00
_symmetry_space_group_name_H-M 'C m c m'
_symmetry_Int_Tables_number 63
_symmetry_space_group_name_Hall '-C 2c 2'
loop_
_atom_site_label
_atom_site_type_symbol
_atom_site_fract_x
_atom_site_fract_y
_atom_site_fract_z
Ac1 Ac 0.000 0.243 0.250
Co1 Co 0.000 0.474 0.750
Ge1 Ge 0.000 0.290 0.750
Ge2 Ge 0.236 0.000 0.000
Os1 Os 0.000 0.094 0.750
```

## Properties
DFT total energy in eV/f.u.: -37.7
Fermi-level density of states in states/eV/atom: 0.537
M_tot in μB per formula unit: 0.0

---

Cs2BiC2O6 | PBE | relaxed

The structure in CIF format:
```
data_Cs2BiC2O6
_cell_length_a 12.868
_cell_length_b 5.457
_cell_length_c 7.341
_cell_angle_alpha 90.00
_cell_angle_beta 118.05
_cell_angle_gamma 90.00
_symmetry_space_group_name_H-M 'C 1 2/m 1'
_symmetry_Int_Tables_number 12
loop_
_symmetry_equiv_pos_as_xyz
'x,y,z'
'-x,-y,-z'
'-x,y,-z'
'x,-y,z'
'x+1/2,y+1/2,z'
'-x+1/2,-y+1/2,-z'
'-x+1/2,y+1/2,-z'
'x+1/2,-y+1/2,z'
loop_
_atom_site_label
_atom_site_type_symbol
_atom_site_fract_x
_atom_site_fract_y
_atom_site_fract_z
Cs1 Cs 0.192 0.000 0.199
Bi1 Bi 0.000 0.000 0.500
C1 C 0.002 0.500 0.728
O1 O 0.064 0.294 0.772
O2 O 0.109 0.500 0.351
```

## Properties
DFT total energy in eV/f.u.: -70.1
M_tot in μB per formula unit: 1.0

---

NbGa2H6 | PBE | relaxed

The structure in CIF format:
```
data_NbGa2H6
_cell_length_a 6.825
_cell_length_b 6.825
_cell_length_c 6.825
_cell_angle_alpha 90.00
_cell_angle_beta 90.00
_cell_angle_gamma 90.00
_symmetry_space_group_name_H-M 'F m -3 m'
_symmetry_Int_Tables_number 225
_symmetry_space_group_name_Hall '-F 4 2 3'
loop_
_atom_site_label
_atom_site_type_symbol
_atom_site_fract_x
_atom_site_fract_y
_atom_site_fract_z
Nb1 Nb 0.000 0.000 0.000
Ga1 Ga 0.250 0.250 0.250
H1 H 0.000 0.000 0.271
```

## Properties
DFT total energy in eV/f.u.: -33.6
Fermi-level density of states in states/eV/atom: 0.203
M_tot in μB per formula unit: 0.0

---

K4TbPu3Se8 | PBE | relaxed

The structure in CIF format:
```
data_K4TbPu3Se8
_cell_length_a 8.5487
_cell_length_b 8.5487
_cell_length_c 22.9266
_cell_angle_alpha 90.00
_cell_angle_beta 90.00
_cell_angle_gamma 120.00
_symmetry_space_group_name_H-M 'R -3 m'
_symmetry_Int_Tables_number 166
_symmetry_space_group_name_Hall '-R 3 2"'
loop_
_atom_site_label
_atom_site_type_symbol
_atom_site_fract_x
_atom_site_fract_y
_atom_site_fract_z
K1 K 0.0000 0.0000 0.0000
K2 K 0.0000 0.5000 0.0000
Tb1 Tb 0.0000 0.0000 0.5000
Pu1 Pu 0.0000 0.5000 0.5000
Se1 Se 0.0000 0.0000 0.2344
Se2 Se 0.0021 0.5010 0.2352
```

## Properties
DFT total energy in eV/f.u.: -104.5
Fermi-level density of states in states/eV/atom: 2.102
M_tot in μB per formula unit: 15.0

---

Ni2RuCl | PBE | relaxed

The structure in CIF format:
```
data_Ni2RuCl
_cell_length_a 5.020
_cell_length_b 7.703
_cell_length_c 2.741
_cell_angle_alpha 90.00
_cell_angle_beta 90.00
_cell_angle_gamma 90.00
_symmetry_space_group_name_H-M 'C m m m'
_symmetry_Int_Tables_number 65
_symmetry_space_group_name_Hall '-C 2 2'
loop_
_atom_site_label
_atom_site_type_symbol
_atom_site_fract_x
_atom_site_fract_y
_atom_site_fract_z
Ni1 Ni 0.250 0.250 0.000
Ru1 Ru 0.000 0.000 0.500
Cl1 Cl 0.000 0.500 0.500
```

## Properties
Offset from the most stable computed form in meV per atom: 379
Fermi-level density of states in states/eV/atom: 1.712
M_tot in μB per formula unit: 1.8

---

Ac6TeIr3Cl2 | PBE | relaxed

The structure in CIF format:
```
data_Ac6TeIr3Cl2
_cell_length_a 20.418
_cell_length_b 4.361
_cell_length_c 9.452
_cell_angle_alpha 90.00
_cell_angle_beta 110.04
_cell_angle_gamma 90.00
_symmetry_space_group_name_H-M 'C 1 2/m 1'
_symmetry_Int_Tables_number 12
loop_
_symmetry_equiv_pos_as_xyz
'x,y,z'
'-x,-y,-z'
'-x,y,-z'
'x,-y,z'
'x+1/2,y+1/2,z'
'-x+1/2,-y+1/2,-z'
'-x+1/2,y+1/2,-z'
'x+1/2,-y+1/2,z'
loop_
_atom_site_label
_atom_site_type_symbol
_atom_site_fract_x
_atom_site_fract_y
_atom_site_fract_z
Ac1 Ac 0.012 0.000 0.226
Ac2 Ac 0.157 0.500 0.106
Ac3 Ac 0.177 0.500 0.555
Te1 Te 0.000 0.500 0.500
Ir1 Ir 0.000 0.500 0.000
Ir2 Ir 0.168 0.000 0.330
Cl1 Cl 0.173 0.000 0.844
```

## Properties
DFT total energy in eV/f.u.: -72.9
Fermi-level density of states in states/eV/atom: 0.458
M_tot in μB per formula unit: 0.0

---

LiZr2Tl | PBE | relaxed

The structure in CIF format:
```
data_LiZr2Tl
_cell_length_a 5.601
_cell_length_b 10.189
_cell_length_c 3.149
_cell_angle_alpha 90.00
_cell_angle_beta 106.49
_cell_angle_gamma 90.00
_symmetry_space_group_name_H-M 'C 1 2/m 1'
_symmetry_Int_Tables_number 12
loop_
_symmetry_equiv_pos_as_xyz
'x,y,z'
'-x,-y,-z'
'-x,y,-z'
'x,-y,z'
'x+1/2,y+1/2,z'
'-x+1/2,-y+1/2,-z'
'-x+1/2,y+1/2,-z'
'x+1/2,-y+1/2,z'
loop_
_atom_site_label
_atom_site_type_symbol
_atom_site_fract_x
_atom_site_fract_y
_atom_site_fract_z
Li1 Li 0.000 0.000 0.000
Zr1 Zr 0.250 0.250 0.500
Tl1 Tl 0.000 0.500 0.000
```

## Properties
DFT total energy in eV/f.u.: -21.1
Fermi-level density of states in states/eV/atom: 0.756
M_tot in μB per formula unit: 0.0

---

CsSnGe2I8 | PBE | relaxed

The structure in CIF format:
```
data_CsSnGe2I8
_cell_length_a 8.9739
_cell_length_b 8.9739
_cell_length_c 10.0254
_cell_angle_alpha 90.00
_cell_angle_beta 90.00
_cell_angle_gamma 120.00
_symmetry_space_group_name_H-M 'P -3 m 1'
_symmetry_Int_Tables_number 164
_symmetry_space_group_name_Hall '-P 3 2"'
loop_
_atom_site_label
_atom_site_type_symbol
_atom_site_fract_x
_atom_site_fract_y
_atom_site_fract_z
Cs1 Cs 0.0000 0.0000 0.0000
Sn1 Sn 0.0000 0.0000 0.5000
Ge1 Ge 0.3333 0.6667 0.2294
I1 I 0.1604 0.3207 0.3163
I2 I 0.3333 0.6667 0.9654
```

## Properties
DFT total energy in eV/f.u.: -32.4
Fermi-level density of states in states/eV/atom: 0.370
M_tot in μB per formula unit: 0.0

---

ScRu2Pt | PBE | relaxed

The structure in CIF format:
```
data_ScRu2Pt
_cell_length_a 2.824
_cell_length_b 3.934
_cell_length_c 5.655
_cell_angle_alpha 90.00
_cell_angle_beta 90.00
_cell_angle_gamma 90.00
_symmetry_space_group_name_H-M 'P m m m'
_symmetry_Int_Tables_number 47
loop_
_symmetry_equiv_pos_as_xyz
'x,y,z'
'-x,-y,-z'
'-x,-y,z'
'x,y,-z'
'x,-y,-z'
'-x,y,z'
'-x,y,-z'
'x,-y,z'
loop_
_atom_site_label
_atom_site_type_symbol
_atom_site_fract_x
_atom_site_fract_y
_atom_site_fract_z
Sc1 Sc 0.000 0.000 0.000
Ru1 Ru 0.500 0.500 0.263
Pt1 Pt 0.000 0.000 0.500
```

## Properties
DFT total energy in eV/f.u.: -31.5
Fermi-level density of states in states/eV/atom: 1.233
M_tot in μB per formula unit: 0.0

---

AgI | PBE | relaxed

The structure in CIF format:
```
data_AgI
_cell_length_a 10.9564
_cell_length_b 10.9564
_cell_length_c 4.7126
_cell_angle_alpha 90.00
_cell_angle_beta 90.00
_cell_angle_gamma 120.00
_symmetry_space_group_name_H-M 'P 63/m'
_symmetry_Int_Tables_number 176
_symmetry_space_group_name_Hall '-P 6c'
loop_
_atom_site_label
_atom_site_type_symbol
_atom_site_fract_x
_atom_site_fract_y
_atom_site_fract_z
Ag1 Ag 0.0399 0.4371 0.2500
I1 I 0.1071 0.7254 0.2500
```

## Properties
DFT total energy in eV/f.u.: -4.8
Fermi-level density of states in states/eV/atom: 0.000
M_tot in μB per formula unit: 0.0

---

VCr4Ir | PBE | relaxed

The structure in CIF format:
```
data_VCr4Ir
_cell_length_a 6.695
_cell_length_b 6.695
_cell_length_c 6.695
_cell_angle_alpha 90.00
_cell_angle_beta 90.00
_cell_angle_gamma 90.00
_symmetry_space_group_name_H-M 'F -4 3 m'
_symmetry_Int_Tables_number 216
_symmetry_space_group_name_Hall 'F -4 2 3'
loop_
_atom_site_label
_atom_site_type_symbol
_atom_site_fract_x
_atom_site_fract_y
_atom_site_fract_z
V1 V 0.000 0.000 0.000
Cr1 Cr 0.127 0.127 0.373
Ir1 Ir 0.250 0.250 0.750
```

## Properties
DFT total energy in eV/f.u.: -56.7
Fermi-level density of states in states/eV/atom: 1.453
M_tot in μB per formula unit: 0.0

---

Tm8Ga3SbTe4 | PBE | relaxed

The structure in CIF format:
```
data_Tm8Ga3SbTe4
_cell_length_a 8.3484
_cell_length_b 8.3484
_cell_length_c 21.6918
_cell_angle_alpha 90.00
_cell_angle_beta 90.00
_cell_angle_gamma 120.00
_symmetry_space_group_name_H-M 'R -3 m'
_symmetry_Int_Tables_number 166
_symmetry_space_group_name_Hall '-R 3 2"'
loop_
_atom_site_label
_atom_site_type_symbol
_atom_site_fract_x
_atom_site_fract_y
_atom_site_fract_z
Tm1 Tm 0.0000 0.0000 0.2432
Tm2 Tm 0.0093 0.5047 0.7567
Ga1 Ga 0.0000 0.5000 0.5000
Sb1 Sb 0.0000 0.0000 0.5000
Te1 Te 0.0000 0.0000 0.0000
Te2 Te 0.0000 0.5000 0.0000
```

## Properties
DFT total energy in eV/f.u.: -76.7
Fermi-level density of states in states/eV/atom: 0.508
M_tot in μB per formula unit: 0.0